Compound: PmGa2MoO8
Source: the Alexandria database
Functional: PBE with a Hubbard U
Structure: relaxed

The space group is Cmmm (No. 65) and the conventional cell measures 6.6292, 6.6990 and 6.5560 Å, with angles of 90.00, 90.00 and 90.00 degrees. The inequivalent atoms are Pm at (0.0000, 0.0000, 0.0000), Ga at (0.0000, 0.5000, 0.2659), Mo at (0.0000, 0.0000, 0.5000), O at (0.0000, 0.2976, 0.5000), O at (0.0000, 0.3351, 0.0000) and O at (0.2021, 0.0000, 0.2897).

The calculation puts the uncorrected energy at -6.645 eV/atom. Its total magnetization is 0.5 μB/f.u. The crystal system is orthorhombic.